[1]
Density functional theory data (GGA-PBE) for a relaxed CrSiRu2 crystal.

```
CrSiRu2
1.0
-0.7954 2.5146 0.6369
-0.9110 -1.9525 1.6490
6.4887 0.8804 4.6268
Ru Cr Si
2 1 1
direct
0.0000 0.0000 0.4887
0.0000 0.0000 0.0113
0.5000 0.5000 0.7500
0.5000 0.5000 0.2500
```

Results
**Formation energy from raw total energies**: 127 meV/atom
**Density of states at the Fermi level**: 1.382 states/eV per atom
**Electronic total energy**: -0.6080 Ry/atom



[2]
Density functional theory data (GGA-PBE) for a relaxed CrSiRu2 crystal.

```
CrSiRu2
1.0
-2.2537 -3.8269 -1.3592
0.4610 -4.0407 -2.2432
0.7533 -2.9933 3.0371
Ru Cr Si
2 1 1
direct
0.7615 0.7615 0.6823
0.9922 0.9922 0.0649
0.2461 0.2461 0.2006
0.5002 0.5002 0.5522
```

Results
**Formation energy from raw total energies**: -264 meV/atom
**Density of states at the Fermi level**: 1.013 states/eV per atom
**Electronic total energy**: -0.6368 Ry/atom



[3]
Density functional theory data (GGA-PBE) for a relaxed CrSiRu2 crystal.

```
CrSiRu2
1.0
-1.9864 3.5474 2.7738
-4.8573 0.6412 -0.4685
3.6072 -3.1094 1.2422
Ru Cr Si
2 1 1
direct
0.5224 0.5224 0.0000
0.9776 0.9776 0.0000
0.2500 0.7500 0.5000
0.7500 0.2500 0.5000
```

Results
**Formation energy from raw total energies**: -162 meV/atom
**Density of states at the Fermi level**: 0.905 states/eV per atom
**Electronic total energy**: -0.6293 Ry/atom



[4]
Density functional theory data (GGA-PBE) for a relaxed CrSiRu2 crystal.

```
CrSiRu2
1.0
3.8295 0.0000 0.0000
0.0000 2.7228 0.0036
0.0000 1.5726 5.0497
Si Ru Cr
1 2 1
direct
0.5000 0.2500 0.2500
0.0000 0.3926 0.4924
0.0000 0.1074 0.0076
0.5000 0.7500 0.7500
```

Results
**Formation energy from raw total energies**: -127 meV/atom
**Density of states at the Fermi level**: 0.897 states/eV per atom
**Electronic total energy**: -0.6267 Ry/atom



Please write out number 4 again, unchanged.
Density functional theory data (GGA-PBE) for a relaxed CrSiRu2 crystal.

```
CrSiRu2
1.0
3.8295 0.0000 0.0000
0.0000 2.7228 0.0036
0.0000 1.5726 5.0497
Si Ru Cr
1 2 1
direct
0.5000 0.2500 0.2500
0.0000 0.3926 0.4924
0.0000 0.1074 0.0076
0.5000 0.7500 0.7500
```

Results
**Formation energy from raw total energies**: -127 meV/atom
**Density of states at the Fermi level**: 0.897 states/eV per atom
**Electronic total energy**: -0.6267 Ry/atom



Question: density of states at the Fermi level of number 1 (CrSiRu2)?
Answer: 1.382 states/eV per atom



Question: Among the records above, which one has the lowest formation energy from raw total energies?
Answer: number 2